Compound: RbFeF4
Source: Alexandria
Functional: PBE+U
Structure: optimized geometry

Cell: 7.8070 7.8124 6.3538 Å, 90.00 90.00 90.00°
Space group Pmmn (No. 59, origin choice 2)
Inequivalent atoms, fractional coordinates:
1 Rb 0.2500 0.2500 0.0021 x2
2 Rb 0.2500 0.7500 0.0482 x2
3 Fe 0.0000 0.0000 0.5000 x4
4 F 0.0011 0.7500 0.4292 x4
5 F 0.0438 0.5414 0.7886 x8
6 F 0.2500 0.0123 0.4287 x4

VASP energy   -119.64 eV per cell
Total moment   20.0 μB/cell